(1)
Density functional theory data (PBE-GGA) for an optimized crystal structure of ThMnOs.

Geometry as extended XYZ:
```
3
Lattice="4.074 0.000 0.000 -2.037 3.528 0.000 0.000 0.000 4.332" Properties=species:S:1:pos:R:3 pbc="T T T"
Th 0.000 0.000 0.000
Mn 0.000 2.352 2.166
Os 2.037 1.176 2.166
```

Energy of formation   -4 kJ/mol of atoms
SG   No. 187


(2)
Density functional theory data (PBE-GGA) for an optimized crystal structure of ThMnOs.

Geometry as extended XYZ:
```
6
Lattice="2.034 -3.541 0.000 2.034 3.541 0.000 0.000 0.000 8.639" Properties=species:S:1:pos:R:3 pbc="T T T"
Th 0.000 0.000 0.000
Th 0.000 0.000 4.320
Mn 2.034 1.178 6.479
Mn 2.034 -1.178 2.160
Os 2.034 1.174 2.160
Os 2.034 -1.174 6.479
```

Energy of formation   -4 kJ/mol of atoms
SG   No. 63


(3)
Density functional theory data (PBE-GGA) for an optimized crystal structure of ThMnOs.

Geometry as extended XYZ:
```
6
Lattice="-2.654 2.774 3.783 2.654 -2.774 3.783 2.654 2.774 -3.783" Properties=species:S:1:pos:R:3 pbc="T T T"
Th 0.000 1.387 0.961
Th 2.654 1.387 2.822
Mn 1.327 1.387 -1.891
Mn 1.327 -1.387 1.891
Os 2.654 0.000 0.000
Os 0.000 0.000 3.783
```

Energy of formation   -17 kJ/mol of atoms
SG   No. 74


(4)
Density functional theory data (PBE-GGA) for an optimized crystal structure of ThMn17Os.

Geometry as extended XYZ:
```
19
Lattice="4.255 2.457 3.832 -4.255 2.457 3.832 0.000 -4.913 3.832" Properties=species:S:1:pos:R:3 pbc="T T T"
Th 0.000 0.000 0.000
Mn -1.182 -1.993 4.167
Mn -2.316 -0.027 4.167
Mn 0.000 0.000 2.953
Mn -1.887 -1.089 6.551
Mn 0.000 -2.527 6.045
Mn -2.188 1.263 6.045
Mn 1.182 -1.993 4.167
Mn -1.135 2.020 4.167
Mn 0.000 0.000 5.401
Mn -1.984 -1.145 9.458
Mn 2.316 -0.027 4.167
Mn 1.135 2.020 4.167
Mn 1.887 -1.089 6.551
Mn 0.000 2.178 6.551
Mn 2.188 1.263 6.045
Mn 1.984 -1.145 9.458
Mn 0.000 2.291 9.458
Os 0.000 0.000 8.045
```

Energy of formation   12 kJ/mol of atoms
SG   No. 160


| no. | DFT total energy (eV for the cell shown) |
| --- | --- |
| 1 | -27.93 |
| 2 | -55.89 |
| 3 | -56.71 |
| 4 | -172.11 |